# 1
A geometry-optimized Li2CrNi2 structure. Source: Alexandria via LeMat-Bulk, functional GGA-PBE.

Lattice parameters (Å, degrees): 6.668 6.668 2.467 90.00 90.00 90.00
Positions (direct):
Ni: 0.194 0.694 0.500
Ni: 0.694 0.806 0.500
Ni: 0.806 0.306 0.500
Ni: 0.306 0.194 0.500
Li: 0.390 0.890 0.000
Li: 0.890 0.610 0.000
Li: 0.610 0.110 0.000
Li: 0.110 0.390 0.000
Cr: 0.000 0.000 0.000
Cr: 0.500 0.500 0.000

Values from the calculation:
SG: P4/mbm
Calculated total energy, eV per atom: -4.684
DOS at the Fermi energy, states/eV/f.u.: 6.07
Calculated volume, Å³ per cell: 110
Calculated formation energy, eV per atom: 0.319

# 2
A geometry-optimized LiCrNi2 structure. Source: Alexandria via LeMat-Bulk, functional GGA-PBE.

Lattice parameters (Å, degrees): 3.965 3.965 3.965 60.00 60.00 60.00
Positions (direct):
Cr: 0.500 0.500 0.500
Li: 0.750 0.750 0.750
Ni: 0.000 0.000 0.000
Ni: 0.250 0.250 0.250

Values from the calculation:
SG: F-43m
Calculated total energy, eV per atom: -5.495
DOS at the Fermi energy, states/eV/f.u.: 5.16
Calculated volume, Å³ per cell: 44
Calculated formation energy, eV per atom: 0.280

# 3
A geometry-optimized LiCrNi structure. Source: Alexandria via LeMat-Bulk, functional GGA-PBE.

Lattice parameters (Å, degrees): 2.422 4.279 6.622 90.00 92.50 90.00
Positions (direct):
Li: 0.378 0.500 0.756
Li: 0.735 0.500 0.430
Cr: 0.461 0.000 0.249
Cr: 0.664 0.000 0.935
Ni: 0.062 0.000 0.592
Ni: 0.059 0.500 0.093

Values from the calculation:
SG: Pm
Calculated total energy, eV per atom: -5.590
DOS at the Fermi energy, states/eV/f.u.: 3.55
Calculated volume, Å³ per cell: 69
Calculated formation energy, eV per atom: 0.183

# 4
A geometry-optimized LiCrNi structure. Source: Alexandria via LeMat-Bulk, functional GGA-PBE.

Lattice parameters (Å, degrees): 3.946 4.226 4.792 90.00 114.47 90.00
Positions (direct):
Li: 0.917 0.500 0.440
Li: 0.571 0.500 0.748
Cr: 0.748 0.000 0.104
Cr: 0.101 0.000 0.808
Ni: 0.245 0.500 0.097
Ni: 0.419 0.000 0.444

Values from the calculation:
SG: Pm
Calculated total energy, eV per atom: -5.549
DOS at the Fermi energy, states/eV/f.u.: 2.95
Calculated volume, Å³ per cell: 73
Calculated formation energy, eV per atom: 0.224

# 5
A geometry-optimized Li2CrNi structure. Source: Alexandria via LeMat-Bulk, functional GGA-PBE.

Lattice parameters (Å, degrees): 4.028 4.028 4.028 60.00 60.00 60.00
Positions (direct):
Ni: 0.500 0.500 0.500
Li: 0.250 0.250 0.250
Li: 0.750 0.750 0.750
Cr: 0.000 0.000 0.000

Values from the calculation:
SG: Fm-3m
Calculated total energy, eV per atom: -4.062
DOS at the Fermi energy, states/eV/f.u.: 6.32
Calculated volume, Å³ per cell: 46
Calculated formation energy, eV per atom: 0.746

# 6
A geometry-optimized Li2CrNi structure. Source: Alexandria via LeMat-Bulk, functional GGA-PBE.

Lattice parameters (Å, degrees): 3.768 2.418 6.035 65.85 90.00 90.00
Positions (direct):
Cr: 0.500 0.792 0.707
Li: 0.000 0.994 0.006
Li: 0.500 0.249 0.252
Ni: 0.000 0.465 0.535

Values from the calculation:
SG: Pm
Calculated total energy, eV per atom: -4.556
DOS at the Fermi energy, states/eV/f.u.: 3.60
Calculated volume, Å³ per cell: 50
Calculated formation energy, eV per atom: 0.252

> calculated formation energy of number 5 (Li2CrNi)?

0.746 eV per atom

> Which value of calculated total energy does entry 6 give?

-4.556 eV per atom

> Which of these has the highest calculated formation energy?

number 5